(1)
## Pr4CuAsI2 (PBE-GGA)

Data for a relaxed structure of Pr4CuAsI2.

```
data_Pr4CuAsI2
_space_group_name_H-M_alt 'P 1'
_space_group_IT_number 1
_space_group_name_Hall 'P 1'
_cell_length_a 4.230
_cell_length_b 7.643
_cell_length_c 8.097
_cell_angle_alpha 106.91
_cell_angle_beta 90.00
_cell_angle_gamma 90.00
loop_
_atom_site_label
_atom_site_type_symbol
_atom_site_fract_x
_atom_site_fract_y
_atom_site_fract_z
_atom_site_occupancy
Pr1 Pr 0.000 0.267 0.798 1
As1 As 0.500 0.500 0.000 1
Pr2 Pr 0.000 0.733 0.202 1
I1 I 0.000 0.500 0.500 1
Cu1 Cu 0.000 0.000 0.000 1
I2 I 0.500 0.000 0.500 1
Pr3 Pr 0.500 0.778 0.801 1
Pr4 Pr 0.500 0.222 0.199 1
```

formation energy (no corrections)	-905	meV/atom
density of states at the Fermi level	5.290	states/eV/f.u.
magnetic moment	0.00	μB per formula unit

(2)
## Rb2CuAsI6 (PBE-GGA)

Data for a relaxed structure of Rb2CuAsI6.

```
data_Rb2CuAsI6
_space_group_name_H-M_alt 'P 1'
_space_group_IT_number 1
_space_group_name_Hall 'P 1'
_cell_length_a 8.139
_cell_length_b 8.139
_cell_length_c 8.147
_cell_angle_alpha 60.03
_cell_angle_beta 60.03
_cell_angle_gamma 90.00
loop_
_atom_site_label
_atom_site_type_symbol
_atom_site_fract_x
_atom_site_fract_y
_atom_site_fract_z
_atom_site_occupancy
Rb1 Rb 0.750 0.250 0.500 1
Rb2 Rb 0.250 0.750 0.500 1
I1 I 0.253 0.253 0.000 1
I2 I 0.253 0.747 0.000 1
I3 I 0.747 0.253 0.000 1
I4 I 0.748 0.748 0.505 1
I5 I 0.252 0.252 0.495 1
As1 As 0.000 0.000 0.000 1
Cu1 Cu 0.500 0.500 0.000 1
I6 I 0.747 0.747 0.000 1
```

formation energy (no corrections)	-646	meV/atom
density of states at the Fermi level	0.085	states/eV/f.u.
magnetic moment	0.00	μB per formula unit

(3)
## CuAsSI (PBE-GGA)

Data for a relaxed structure of CuAsSI.

```
data_CuAsSI
_space_group_name_H-M_alt 'P 1'
_space_group_IT_number 1
_space_group_name_Hall 'P 1'
_cell_length_a 4.149
_cell_length_b 4.149
_cell_length_c 7.837
_cell_angle_alpha 104.45
_cell_angle_beta 89.78
_cell_angle_gamma 122.39
loop_
_atom_site_label
_atom_site_type_symbol
_atom_site_fract_x
_atom_site_fract_y
_atom_site_fract_z
_atom_site_occupancy
Cu1 Cu 0.250 0.988 0.238 1
As1 As 0.172 0.502 0.674 1
S1 S 0.381 0.150 0.531 1
I1 I 0.526 0.561 0.087 1
```

formation energy (no corrections)	64	meV/atom
density of states at the Fermi level	1.650	states/eV/f.u.
magnetic moment	0.00	μB per formula unit

(4)
## CuAsSe2I (PBE-GGA)

Data for a relaxed structure of CuAsSe2I.

```
data_CuAsSe2I
_space_group_name_H-M_alt 'P 1'
_space_group_IT_number 1
_space_group_name_Hall 'P 1'
_cell_length_a 5.309
_cell_length_b 8.095
_cell_length_c 7.403
_cell_angle_alpha 111.18
_cell_angle_beta 90.00
_cell_angle_gamma 90.00
loop_
_atom_site_label
_atom_site_type_symbol
_atom_site_fract_x
_atom_site_fract_y
_atom_site_fract_z
_atom_site_occupancy
Se1 Se 0.250 0.398 0.629 1
I1 I 0.250 0.902 0.724 1
As1 As 0.750 0.360 0.061 1
Cu1 Cu 0.250 0.606 0.436 1
Se2 Se 0.250 0.407 0.111 1
As2 As 0.250 0.640 0.939 1
Cu2 Cu 0.750 0.394 0.564 1
Se3 Se 0.750 0.593 0.889 1
Se4 Se 0.750 0.602 0.371 1
I2 I 0.750 0.098 0.276 1
```

formation energy (no corrections)	-82	meV/atom
density of states at the Fermi level	2.839	states/eV/f.u.
magnetic moment	0.00	μB per formula unit

(5)
## CuAsSeI (PBE-GGA)

Data for a relaxed structure of CuAsSeI.

```
data_CuAsSeI
_space_group_name_H-M_alt 'P 1'
_space_group_IT_number 1
_space_group_name_Hall 'P 1'
_cell_length_a 4.225
_cell_length_b 4.225
_cell_length_c 8.104
_cell_angle_alpha 103.95
_cell_angle_beta 89.91
_cell_angle_gamma 122.72
loop_
_atom_site_label
_atom_site_type_symbol
_atom_site_fract_x
_atom_site_fract_y
_atom_site_fract_z
_atom_site_occupancy
Cu1 Cu 0.253 0.974 0.227 1
Se1 Se 0.385 0.147 0.532 1
As1 As 0.157 0.518 0.675 1
I1 I 0.535 0.562 0.096 1
```

formation energy (no corrections)	60	meV/atom
density of states at the Fermi level	2.144	states/eV/f.u.
magnetic moment	0.00	μB per formula unit

(6)
## CuAsSe2I (PBE-GGA)

Data for a relaxed structure of CuAsSe2I.

```
data_CuAsSe2I
_space_group_name_H-M_alt 'P 1'
_space_group_IT_number 1
_space_group_name_Hall 'P 1'
_cell_length_a 4.784
_cell_length_b 4.784
_cell_length_c 5.040
_cell_angle_alpha 90.00
_cell_angle_beta 90.00
_cell_angle_gamma 90.00
loop_
_atom_site_label
_atom_site_type_symbol
_atom_site_fract_x
_atom_site_fract_y
_atom_site_fract_z
_atom_site_occupancy
I1 I 0.500 0.500 0.500 1
As1 As 0.000 0.000 0.500 1
Se1 Se 0.500 0.000 0.000 1
Cu1 Cu 0.000 0.000 0.000 1
Se2 Se 0.000 0.500 0.000 1
```

formation energy (no corrections)	533	meV/atom
density of states at the Fermi level	5.398	states/eV/f.u.
magnetic moment	0.00	μB per formula unit

(7)
## Sr6CuAs2I3 (PBE-GGA)

Data for a relaxed structure of Sr6CuAs2I3.

```
data_Sr6CuAs2I3
_space_group_name_H-M_alt 'P 1'
_space_group_IT_number 1
_space_group_name_Hall 'P 1'
_cell_length_a 7.977
_cell_length_b 7.977
_cell_length_c 8.472
_cell_angle_alpha 99.01
_cell_angle_beta 99.01
_cell_angle_gamma 120.48
loop_
_atom_site_label
_atom_site_type_symbol
_atom_site_fract_x
_atom_site_fract_y
_atom_site_fract_z
_atom_site_occupancy
Sr1 Sr 0.935 0.598 0.800 1
I1 I 0.830 0.170 0.500 1
Sr2 Sr 0.065 0.402 0.200 1
Cu1 Cu 0.000 0.000 0.000 1
Sr3 Sr 0.402 0.065 0.200 1
As1 As 0.335 0.665 0.000 1
Sr4 Sr 0.268 0.268 0.797 1
As2 As 0.665 0.335 0.000 1
Sr5 Sr 0.732 0.732 0.203 1
I2 I 0.170 0.830 0.500 1
Sr6 Sr 0.598 0.935 0.800 1
I3 I 0.500 0.500 0.500 1
```

formation energy (no corrections)	-1117	meV/atom
density of states at the Fermi level	4.720	states/eV/f.u.
magnetic moment	2.06	μB per formula unit

(8)
## SrCuAs2I (PBE-GGA)

Data for a relaxed structure of SrCuAs2I.

```
data_SrCuAs2I
_space_group_name_H-M_alt 'P 1'
_space_group_IT_number 1
_space_group_name_Hall 'P 1'
_cell_length_a 5.861
_cell_length_b 5.634
_cell_length_c 5.861
_cell_angle_alpha 90.00
_cell_angle_beta 90.00
_cell_angle_gamma 90.00
loop_
_atom_site_label
_atom_site_type_symbol
_atom_site_fract_x
_atom_site_fract_y
_atom_site_fract_z
_atom_site_occupancy
Sr1 Sr 0.000 0.000 0.000 1
As1 As 0.000 0.000 0.500 1
Cu1 Cu 0.000 0.500 0.000 1
As2 As 0.500 0.000 0.000 1
I1 I 0.500 0.500 0.500 1
```

formation energy (no corrections)	1035	meV/atom
density of states at the Fermi level	6.539	states/eV/f.u.
magnetic moment	1.68	μB per formula unit

(9)
## Ta2CuAsI (PBE-GGA)

Data for a relaxed structure of Ta2CuAsI.

```
data_Ta2CuAsI
_space_group_name_H-M_alt 'P 1'
_space_group_IT_number 1
_space_group_name_Hall 'P 1'
_cell_length_a 5.023
_cell_length_b 5.300
_cell_length_c 5.023
_cell_angle_alpha 90.00
_cell_angle_beta 90.00
_cell_angle_gamma 90.00
loop_
_atom_site_label
_atom_site_type_symbol
_atom_site_fract_x
_atom_site_fract_y
_atom_site_fract_z
_atom_site_occupancy
As1 As 0.000 0.500 0.000 1
Cu1 Cu 0.500 0.500 0.500 1
Ta1 Ta 0.000 0.000 0.500 1
Ta2 Ta 0.500 0.000 0.000 1
I1 I 0.000 0.000 0.000 1
```

formation energy (no corrections)	2290	meV/atom
density of states at the Fermi level	5.192	states/eV/f.u.
magnetic moment	0.00	μB per formula unit

(10)
## CuTe2AsI (PBE-GGA)

Data for a relaxed structure of CuTe2AsI.

```
data_CuTe2AsI
_space_group_name_H-M_alt 'P 1'
_space_group_IT_number 1
_space_group_name_Hall 'P 1'
_cell_length_a 5.508
_cell_length_b 5.508
_cell_length_c 5.549
_cell_angle_alpha 90.00
_cell_angle_beta 90.00
_cell_angle_gamma 90.00
loop_
_atom_site_label
_atom_site_type_symbol
_atom_site_fract_x
_atom_site_fract_y
_atom_site_fract_z
_atom_site_occupancy
Cu1 Cu 0.500 0.500 0.500 1
Te1 Te 0.500 0.000 0.000 1
I1 I 0.000 0.000 0.500 1
As1 As 0.000 0.000 0.000 1
Te2 Te 0.000 0.500 0.000 1
```

formation energy (no corrections)	767	meV/atom
density of states at the Fermi level	7.867	states/eV/f.u.
magnetic moment	0.00	μB per formula unit

(11)
## CuTe2AsI (PBE-GGA)

Data for a relaxed structure of CuTe2AsI.

```
data_CuTe2AsI
_space_group_name_H-M_alt 'P 1'
_space_group_IT_number 1
_space_group_name_Hall 'P 1'
_cell_length_a 5.210
_cell_length_b 5.210
_cell_length_c 5.099
_cell_angle_alpha 90.00
_cell_angle_beta 90.00
_cell_angle_gamma 90.00
loop_
_atom_site_label
_atom_site_type_symbol
_atom_site_fract_x
_atom_site_fract_y
_atom_site_fract_z
_atom_site_occupancy
Te1 Te 0.000 0.500 0.000 1
I1 I 0.000 0.000 0.500 1
As1 As 0.500 0.500 0.500 1
Te2 Te 0.500 0.000 0.000 1
Cu1 Cu 0.000 0.000 0.000 1
```

formation energy (no corrections)	593	meV/atom
density of states at the Fermi level	4.963	states/eV/f.u.
magnetic moment	0.00	μB per formula unit

(12)
## InCuAs (PBE-GGA)

Data for a relaxed structure of InCuAs.

```
data_InCuAs
_space_group_name_H-M_alt 'P 1'
_space_group_IT_number 1
_space_group_name_Hall 'P 1'
_cell_length_a 4.874
_cell_length_b 3.885
_cell_length_c 7.279
_cell_angle_alpha 105.48
_cell_angle_beta 109.56
_cell_angle_gamma 90.00
loop_
_atom_site_label
_atom_site_type_symbol
_atom_site_fract_x
_atom_site_fract_y
_atom_site_fract_z
_atom_site_occupancy
As1 As 0.157 0.657 0.314 1
In1 In 0.369 0.869 0.739 1
Cu1 Cu 0.745 0.500 0.000 1
In2 In 0.631 0.131 0.261 1
As2 As 0.843 0.343 0.686 1
Cu2 Cu 0.255 0.500 0.000 1
```

electronic total energy	-11.20	eV per formula unit
density of states at the Fermi level	1.097	states/eV/f.u.
magnetic moment	0.00	μB per formula unit

(13)
## InCuAs (PBE-GGA)

Data for a relaxed structure of InCuAs.

```
data_InCuAs
_space_group_name_H-M_alt 'P 1'
_space_group_IT_number 1
_space_group_name_Hall 'P 1'
_cell_length_a 4.407
_cell_length_b 4.407
_cell_length_c 4.407
_cell_angle_alpha 60.00
_cell_angle_beta 60.00
_cell_angle_gamma 60.00
loop_
_atom_site_label
_atom_site_type_symbol
_atom_site_fract_x
_atom_site_fract_y
_atom_site_fract_z
_atom_site_occupancy
As1 As 0.500 0.500 0.500 1
Cu1 Cu 0.750 0.750 0.750 1
In1 In 0.000 0.000 0.000 1
```

electronic total energy	-11.32	eV per formula unit
density of states at the Fermi level	1.825	states/eV/f.u.
magnetic moment	0.00	μB per formula unit

(14)
## InCuAs4 (PBE-GGA)

Data for a relaxed structure of InCuAs4.

```
data_InCuAs4
_space_group_name_H-M_alt 'P 1'
_space_group_IT_number 1
_space_group_name_Hall 'P 1'
_cell_length_a 5.616
_cell_length_b 5.616
_cell_length_c 5.616
_cell_angle_alpha 60.00
_cell_angle_beta 60.00
_cell_angle_gamma 60.00
loop_
_atom_site_label
_atom_site_type_symbol
_atom_site_fract_x
_atom_site_fract_y
_atom_site_fract_z
_atom_site_occupancy
As1 As 0.873 0.376 0.376 1
Cu1 Cu 0.750 0.750 0.750 1
As2 As 0.376 0.376 0.873 1
As3 As 0.376 0.873 0.376 1
As4 As 0.376 0.376 0.376 1
In1 In 0.000 0.000 0.000 1
```

electronic total energy	-22.77	eV per formula unit
density of states at the Fermi level	2.642	states/eV/f.u.
magnetic moment	0.00	μB per formula unit

(15)
## InCu2As2 (PBE-GGA)

Data for a relaxed structure of InCu2As2.

```
data_InCu2As2
_space_group_name_H-M_alt 'P 1'
_space_group_IT_number 1
_space_group_name_Hall 'P 1'
_cell_length_a 7.958
_cell_length_b 7.958
_cell_length_c 2.810
_cell_angle_alpha 90.00
_cell_angle_beta 90.00
_cell_angle_gamma 90.00
loop_
_atom_site_label
_atom_site_type_symbol
_atom_site_fract_x
_atom_site_fract_y
_atom_site_fract_z
_atom_site_occupancy
As1 As 0.149 0.351 0.000 1
In1 In 0.500 0.500 0.000 1
As2 As 0.351 0.851 0.000 1
As3 As 0.851 0.649 0.000 1
Cu1 Cu 0.144 0.644 0.500 1
Cu2 Cu 0.644 0.856 0.500 1
Cu3 Cu 0.856 0.356 0.500 1
Cu4 Cu 0.356 0.144 0.500 1
In2 In 0.000 0.000 0.000 1
As4 As 0.649 0.149 0.000 1
```

electronic total energy	-19.38	eV per formula unit
density of states at the Fermi level	2.003	states/eV/f.u.
magnetic moment	0.00	μB per formula unit

(16)
## InCuAs (PBE-GGA)

Data for a relaxed structure of InCuAs.

```
data_InCuAs
_space_group_name_H-M_alt 'P 1'
_space_group_IT_number 1
_space_group_name_Hall 'P 1'
_cell_length_a 6.217
_cell_length_b 6.217
_cell_length_c 6.217
_cell_angle_alpha 145.59
_cell_angle_beta 153.51
_cell_angle_gamma 43.94
loop_
_atom_site_label
_atom_site_type_symbol
_atom_site_fract_x
_atom_site_fract_y
_atom_site_fract_z
_atom_site_occupancy
Cu1 Cu 0.360 0.360 0.000 1
As1 As 0.956 0.956 0.000 1
In1 In 0.684 0.684 0.000 1
```

electronic total energy	-11.00	eV per formula unit
density of states at the Fermi level	1.536	states/eV/f.u.
magnetic moment	0.00	μB per formula unit

(17)
## InCuAs (PBE-GGA)

Data for a relaxed structure of InCuAs.

```
data_InCuAs
_space_group_name_H-M_alt 'P 1'
_space_group_IT_number 1
_space_group_name_Hall 'P 1'
_cell_length_a 6.977
_cell_length_b 6.977
_cell_length_c 2.988
_cell_angle_alpha 77.64
_cell_angle_beta 77.64
_cell_angle_gamma 24.73
loop_
_atom_site_label
_atom_site_type_symbol
_atom_site_fract_x
_atom_site_fract_y
_atom_site_fract_z
_atom_site_occupancy
In1 In 0.314 0.314 0.686 1
Cu1 Cu 0.650 0.650 0.350 1
As1 As 0.035 0.035 0.965 1
```

electronic total energy	-11.01	eV per formula unit
density of states at the Fermi level	1.427	states/eV/f.u.
magnetic moment	0.00	μB per formula unit

(18)
## InCuAs3 (PBE-GGA)

Data for a relaxed structure of InCuAs3.

```
data_InCuAs3
_space_group_name_H-M_alt 'P 1'
_space_group_IT_number 1
_space_group_name_Hall 'P 1'
_cell_length_a 4.792
_cell_length_b 4.792
_cell_length_c 4.792
_cell_angle_alpha 90.00
_cell_angle_beta 90.00
_cell_angle_gamma 90.00
loop_
_atom_site_label
_atom_site_type_symbol
_atom_site_fract_x
_atom_site_fract_y
_atom_site_fract_z
_atom_site_occupancy
As1 As 0.500 0.000 0.000 1
In1 In 0.500 0.500 0.500 1
As2 As 0.000 0.000 0.500 1
As3 As 0.000 0.500 0.000 1
Cu1 Cu 0.000 0.000 0.000 1
```

electronic total energy	-18.23	eV per formula unit
density of states at the Fermi level	4.511	states/eV/f.u.
magnetic moment	0.00	μB per formula unit

(19)
## InCuAs (PBE-GGA)

Data for a relaxed structure of InCuAs.

```
data_InCuAs
_space_group_name_H-M_alt 'P 1'
_space_group_IT_number 1
_space_group_name_Hall 'P 1'
_cell_length_a 4.036
_cell_length_b 4.036
_cell_length_c 4.340
_cell_angle_alpha 90.00
_cell_angle_beta 90.00
_cell_angle_gamma 120.00
loop_
_atom_site_label
_atom_site_type_symbol
_atom_site_fract_x
_atom_site_fract_y
_atom_site_fract_z
_atom_site_occupancy
As1 As 0.000 0.000 0.105 1
In1 In 0.333 0.667 0.639 1
Cu1 Cu 0.667 0.333 0.255 1
```

electronic total energy	-11.34	eV per formula unit
density of states at the Fermi level	1.141	states/eV/f.u.
magnetic moment	0.00	μB per formula unit

(20)
## La2InCuAs (PBE-GGA)

Data for a relaxed structure of La2InCuAs.

```
data_La2InCuAs
_space_group_name_H-M_alt 'P 1'
_space_group_IT_number 1
_space_group_name_Hall 'P 1'
_cell_length_a 5.724
_cell_length_b 5.123
_cell_length_c 5.724
_cell_angle_alpha 90.00
_cell_angle_beta 90.00
_cell_angle_gamma 90.00
loop_
_atom_site_label
_atom_site_type_symbol
_atom_site_fract_x
_atom_site_fract_y
_atom_site_fract_z
_atom_site_occupancy
In1 In 0.000 0.500 0.000 1
La1 La 0.000 0.000 0.500 1
As1 As 0.000 0.000 0.000 1
La2 La 0.500 0.000 0.000 1
Cu1 Cu 0.500 0.500 0.500 1
```

electronic total energy	-21.41	eV per formula unit
density of states at the Fermi level	6.702	states/eV/f.u.
magnetic moment	0.00	μB per formula unit